Record 1
# CuPt2Rh PBEsol optimized geometry
# - theoretical density (g/cm3) = 16.698
# - total magnetization (μB per formula unit) = 0.00
# - final energy (eV per atom) = -6.646
data_CuPt2Rh
_cell_length_a 2.7059
_cell_length_b 2.7059
_cell_length_c 26.1889
_cell_angle_alpha 90.00
_cell_angle_beta 90.00
_cell_angle_gamma 120.00
_symmetry_space_group_name_H-M 'R -3 m'
_symmetry_Int_Tables_number 166
_symmetry_space_group_name_Hall '-R 3 2"'
loop_
_atom_site_label
_atom_site_type_symbol
_atom_site_fract_x
_atom_site_fract_y
_atom_site_fract_z
Cu1 Cu 0.0000 0.0000 0.0000
Pt1 Pt 0.0000 0.0000 0.2524
Rh1 Rh 0.0000 0.0000 0.5000

Record 2
# SnAs2SeN PBEsol optimized geometry
# - theoretical density (g/cm3) = 4.131
# - total magnetization (μB per formula unit) = 1.37
# - formation energy (no corrections) (meV/atom) = 1825
# - final energy (eV per atom) = -3.545
data_SnAs2SeN
_cell_length_a 5.265
_cell_length_b 5.265
_cell_length_c 5.242
_cell_angle_alpha 90.00
_cell_angle_beta 90.00
_cell_angle_gamma 90.00
_symmetry_space_group_name_H-M 'P 4/m m m'
_symmetry_Int_Tables_number 123
_symmetry_space_group_name_Hall '-P 4 2'
loop_
_atom_site_label
_atom_site_type_symbol
_atom_site_fract_x
_atom_site_fract_y
_atom_site_fract_z
Sn1 Sn 0.000 0.000 0.000
As1 As 0.000 0.500 0.000
Se1 Se 0.000 0.000 0.500
N1 N 0.500 0.500 0.500

Record 3
# Sr2TaCr PBEsol optimized geometry
# - theoretical density (g/cm3) = 5.742
# - total magnetization (μB per formula unit) = 1.46
# - final energy (eV per atom) = -5.830
# - relative energy among the computed polymorphs (eV per atom) = 0.000
data_Sr2TaCr
_cell_length_a 3.292
_cell_length_b 3.874
_cell_length_c 18.510
_cell_angle_alpha 90.00
_cell_angle_beta 90.00
_cell_angle_gamma 90.00
_symmetry_space_group_name_H-M 'I m m m'
_symmetry_Int_Tables_number 71
_symmetry_space_group_name_Hall '-I 2 2'
loop_
_atom_site_label
_atom_site_type_symbol
_atom_site_fract_x
_atom_site_fract_y
_atom_site_fract_z
Sr1 Sr 0.000 0.000 0.154
Ta1 Ta 0.000 0.500 0.000
Cr1 Cr 0.000 0.500 0.500

Record 4
# CrPdPb3 PBEsol optimized geometry
# - theoretical density (g/cm3) = 8.968
# - total magnetization (μB per formula unit) = 4.67
# - final energy (eV per atom) = -4.995
data_CrPdPb3
_cell_length_a 5.247
_cell_length_b 5.247
_cell_length_c 5.247
_cell_angle_alpha 90.00
_cell_angle_beta 90.00
_cell_angle_gamma 90.00
_symmetry_space_group_name_H-M 'P m -3 m'
_symmetry_Int_Tables_number 221
_symmetry_space_group_name_Hall '-P 4 2 3'
loop_
_atom_site_label
_atom_site_type_symbol
_atom_site_fract_x
_atom_site_fract_y
_atom_site_fract_z
Cr1 Cr 0.000 0.000 0.000
Pd1 Pd 0.500 0.500 0.500
Pb1 Pb 0.000 0.500 0.500

Record 5
# CuGeAs2Ir PBEsol optimized geometry
# - theoretical density (g/cm3) = 7.673
# - total magnetization (μB per formula unit) = 0.00
# - final energy (eV per atom) = -5.188
data_CuGeAs2Ir
_cell_length_a 4.661
_cell_length_b 4.661
_cell_length_c 4.765
_cell_angle_alpha 90.00
_cell_angle_beta 90.00
_cell_angle_gamma 90.00
_symmetry_space_group_name_H-M 'P 4/m m m'
_symmetry_Int_Tables_number 123
_symmetry_space_group_name_Hall '-P 4 2'
loop_
_atom_site_label
_atom_site_type_symbol
_atom_site_fract_x
_atom_site_fract_y
_atom_site_fract_z
Cu1 Cu 0.000 0.000 0.000
Ge1 Ge 0.500 0.500 0.000
As1 As 0.000 0.500 0.500
Ir1 Ir 0.000 0.000 0.500

Record 6
# SrOs PBEsol optimized geometry
# - theoretical density (g/cm3) = 11.518
# - total magnetization (μB per formula unit) = 0.00
# - final energy (eV per atom) = -5.704
data_SrOs
_cell_length_a 3.0402
_cell_length_b 3.0402
_cell_length_c 10.0085
_cell_angle_alpha 90.00
_cell_angle_beta 90.00
_cell_angle_gamma 120.00
_symmetry_space_group_name_H-M 'P 63/m m c'
_symmetry_Int_Tables_number 194
_symmetry_space_group_name_Hall '-P 6c 2c'
loop_
_atom_site_label
_atom_site_type_symbol
_atom_site_fract_x
_atom_site_fract_y
_atom_site_fract_z
Sr1 Sr 0.0000 0.0000 0.0000
Os1 Os 0.3333 0.6667 0.2500

Q: The lowest theoretical density belongs to which entry?
A: SnAs2SeN